{"formula": "BaTmWO6", "functional": "PBE with a Hubbard U", "state": "relaxed", "dft_energy_ev_per_atom": -7.356, "vol_a3_per_atom": 17.208, "cell": [[5.651, 0.000, 0.000], [-2.826, 4.894, 0.000], [0.000, 0.000, 5.599]], "species": ["Ba", "Tm", "W", "O", "O", "O", "O", "O", "O"], "frac_coords": [[0.000, 0.000, 0.000], [0.333, 0.667, 0.500], [0.667, 0.333, 0.500], [0.400, 0.034, 0.699], [0.400, 0.366, 0.301], [0.634, 0.034, 0.301], [0.634, 0.600, 0.699], [0.966, 0.366, 0.699], [0.966, 0.600, 0.301]]}